Entry 1:
{
  "formula": "NaCd6In3",
  "functional": "PBE-GGA",
  "state": "optimized geometry",
  "lattice": [[10.569, 0.000, 0.000], [0.000, 4.046, 0.000], [-1.471, 0.000, 12.036]],
  "species": ["Na", "Na", "Cd", "Cd", "Cd", "Cd", "Cd", "Cd", "Cd", "Cd", "Cd", "Cd", "Cd", "Cd", "In", "In", "In", "In", "In", "In"],
  "fractional_positions": [[0.197, 0.250, 0.219], [0.803, 0.750, 0.781], [0.026, 0.250, 0.907], [0.113, 0.250, 0.504], [0.244, 0.750, 0.016], [0.384, 0.250, 0.444], [0.436, 0.750, 0.271], [0.465, 0.250, 0.087], [0.535, 0.750, 0.913], [0.564, 0.250, 0.729], [0.616, 0.750, 0.556], [0.756, 0.250, 0.984], [0.887, 0.750, 0.496], [0.974, 0.750, 0.093], [0.076, 0.750, 0.710], [0.300, 0.250, 0.827], [0.336, 0.750, 0.626], [0.664, 0.250, 0.374], [0.700, 0.750, 0.173], [0.924, 0.250, 0.290]],
  "polymorph_energy_ev_per_atom": 0.000,
  "total_energy_ev_per_cell": -29.85,
  "formation_enthalpy_0k_mev_per_atom": 10
}

Entry 2:
{
  "formula": "Rb2DySb2S6",
  "functional": "PBE-GGA",
  "state": "optimized geometry",
  "lattice": [[6.068, -3.721, 0.000], [6.068, 3.721, 0.000], [-3.821, 0.000, 7.784]],
  "species": ["Rb", "Rb", "Dy", "Sb", "Sb", "S", "S", "S", "S", "S", "S"],
  "fractional_positions": [[0.197, 0.197, 0.162], [0.803, 0.803, 0.838], [0.000, 0.000, 0.500], [0.442, 0.442, 0.793], [0.558, 0.558, 0.207], [0.186, 0.708, 0.230], [0.238, 0.238, 0.564], [0.292, 0.814, 0.770], [0.708, 0.186, 0.230], [0.762, 0.762, 0.436], [0.814, 0.292, 0.770]],
  "formation_energy_uncorrected_ev_per_fu": -9.40,
  "total_energy_ev_per_cell": -48.95
}

Entry 3:
{
  "formula": "ZrAg3Hg",
  "functional": "PBE-GGA",
  "state": "optimized geometry",
  "lattice": [[8.092, -1.506, 0.000], [8.092, 1.506, 0.000], [-2.124, 0.000, 7.993]],
  "species": ["Zr", "Zr", "Ag", "Ag", "Ag", "Ag", "Ag", "Ag", "Hg", "Hg"],
  "fractional_positions": [[0.106, 0.106, 0.057], [0.894, 0.894, 0.943], [0.104, 0.104, 0.550], [0.296, 0.296, 0.154], [0.297, 0.297, 0.642], [0.703, 0.703, 0.358], [0.704, 0.704, 0.846], [0.896, 0.896, 0.450], [0.496, 0.496, 0.253], [0.504, 0.504, 0.747]],
  "polymorph_energy_ev_per_atom": 0.000,
  "total_energy_ev_per_cell": -34.76,
  "formation_enthalpy_0k_mev_per_atom": 5
}

Entry 4:
{
  "formula": "NaSmAgPb",
  "functional": "PBE-GGA",
  "state": "optimized geometry",
  "lattice": [[0.000, 3.734, 3.734], [3.734, 0.000, 3.734], [3.734, 3.734, 0.000]],
  "species": ["Na", "Sm", "Ag", "Pb"],
  "fractional_positions": [[0.000, 0.000, 0.000], [0.500, 0.500, 0.500], [0.250, 0.250, 0.250], [0.750, 0.750, 0.750]],
  "total_energy_ev_per_cell": -13.65,
  "formation_enthalpy_0k_mev_per_atom": -263
}